Entry 1:
Compound: SrMn
Source: Alexandria
Functional: PBE
Structure: relaxed Values from VASP.

N(E_F)	16.69	states/eV/cell
energy of formation	0.95	eV/atom
crystal system	trigonal

Geometry as Quantum ESPRESSO input:
```
&SYSTEM
  ibrav = 0, nat = 12, ntyp = 2
/
ATOMIC_SPECIES
Sr 87.62 Sr.upf
Mn 54.94 Mn.upf
CELL_PARAMETERS angstrom
5.6115 0.0000 0.0000
-2.8058 4.8597 0.0000
0.0000 0.0000 11.3258
ATOMIC_POSITIONS crystal
Sr 0.0000 0.0000 0.3512
Sr 0.0000 0.0000 0.6488
Sr 0.3333 0.6667 0.6836
Sr 0.3333 0.6667 0.9805
Sr 0.6667 0.3333 0.0195
Sr 0.6667 0.3333 0.3164
Mn 0.0000 0.0000 0.0834
Mn 0.0000 0.0000 0.9166
Mn 0.3333 0.6667 0.4159
Mn 0.3333 0.6667 0.2490
Mn 0.6667 0.3333 0.7510
Mn 0.6667 0.3333 0.5841
```

Entry 2:
Compound: BaPr2Mg
Source: Alexandria
Functional: PBE
Structure: relaxed Values from VASP.

N(E_F)	5.54	states/eV/cell
energy of formation	0.05	eV/atom
ΔE to the lowest computed polymorph	0.00	eV/f.u.
crystal system	tetragonal

Geometry as Quantum ESPRESSO input:
```
&SYSTEM
  ibrav = 0, nat = 4, ntyp = 3
/
ATOMIC_SPECIES
Pr 140.91 Pr.upf
Mg 24.30 Mg.upf
Ba 137.33 Ba.upf
CELL_PARAMETERS angstrom
3.9718 0.0000 0.0000
0.0000 3.9718 0.0000
0.0000 0.0000 9.7447
ATOMIC_POSITIONS crystal
Pr 0.0000 0.0000 0.8100
Pr 0.0000 0.0000 0.1900
Mg 0.5000 0.5000 0.0000
Ba 0.5000 0.5000 0.5000
```

Entry 3:
Compound: NaBeTlO3
Source: Alexandria
Functional: PBE
Structure: relaxed Values from VASP.

raw total energy	-62.36	eV for the cell shown
crystal system	monoclinic

Geometry as Quantum ESPRESSO input:
```
&SYSTEM
  ibrav = 0, nat = 12, ntyp = 4
/
ATOMIC_SPECIES
Na 22.99 Na.upf
Be 9.01 Be.upf
Tl 204.38 Tl.upf
O 16.00 O.upf
CELL_PARAMETERS angstrom
3.1354 0.0000 0.0000
0.0000 6.6453 0.2518
0.0000 -1.5356 7.9527
ATOMIC_POSITIONS crystal
Na 0.2500 0.2114 0.2675
Na 0.7500 0.7886 0.7325
Be 0.2500 0.0816 0.5826
Be 0.7500 0.9184 0.4174
Tl 0.2500 0.6702 0.1448
Tl 0.7500 0.3298 0.8552
O 0.7500 0.9036 0.2134
O 0.2500 0.0964 0.7866
O 0.2500 0.8463 0.4816
O 0.7500 0.1537 0.5184
O 0.7500 0.4214 0.1444
O 0.2500 0.5786 0.8556
```

Repeat the first record exactly.
Compound: SrMn
Source: Alexandria
Functional: PBE
Structure: relaxed Values from VASP.

N(E_F)	16.69	states/eV/cell
energy of formation	0.95	eV/atom
crystal system	trigonal

Geometry as Quantum ESPRESSO input:
```
&SYSTEM
  ibrav = 0, nat = 12, ntyp = 2
/
ATOMIC_SPECIES
Sr 87.62 Sr.upf
Mn 54.94 Mn.upf
CELL_PARAMETERS angstrom
5.6115 0.0000 0.0000
-2.8058 4.8597 0.0000
0.0000 0.0000 11.3258
ATOMIC_POSITIONS crystal
Sr 0.0000 0.0000 0.3512
Sr 0.0000 0.0000 0.6488
Sr 0.3333 0.6667 0.6836
Sr 0.3333 0.6667 0.9805
Sr 0.6667 0.3333 0.0195
Sr 0.6667 0.3333 0.3164
Mn 0.0000 0.0000 0.0834
Mn 0.0000 0.0000 0.9166
Mn 0.3333 0.6667 0.4159
Mn 0.3333 0.6667 0.2490
Mn 0.6667 0.3333 0.7510
Mn 0.6667 0.3333 0.5841
```